Material: NpNiMoO6
Method: DFT, GGA+U
State: optimized geometry

Lattice parameters (Å, degrees): 5.2071 5.2071 9.2900 90.00 90.00 120.00
With the nearest neighbours (Å) after each atom.
Fractional coordinates of all 18 atoms:
Np 0.6667 0.3333 0.2500  6 O 2.09
Np 0.3333 0.6667 0.7500  6 O 2.09
Ni 0.3333 0.6667 0.2500  6 O 2.09
Ni 0.6667 0.3333 0.7500  6 O 2.09
Mo 0.0000 0.0000 0.0000  6 O 2.07
Mo 0.0000 0.0000 0.5000  6 O 2.07
O 0.6741 0.6735 0.1283  1 Mo 2.07, 1 Np 2.09, 1 Ni 2.09
O 0.9994 0.3259 0.1283  1 Mo 2.07, 1 Np 2.09, 1 Ni 2.09
O 0.3259 0.9994 0.6283  1 Mo 2.07, 1 Np 2.09, 1 Ni 2.09
O 0.0006 0.6741 0.8717  1 Mo 2.07, 1 Np 2.09, 1 Ni 2.09
O 0.3265 0.3259 0.3717  1 Mo 2.07, 1 Np 2.09, 1 Ni 2.09
O 0.9994 0.6735 0.3717  1 Mo 2.07, 1 Np 2.09, 1 Ni 2.09
O 0.6735 0.9994 0.8717  1 Mo 2.07, 1 Np 2.09, 1 Ni 2.09
O 0.6741 0.0006 0.3717  1 Mo 2.07, 1 Np 2.09, 1 Ni 2.09
O 0.0006 0.3265 0.6283  1 Mo 2.07, 1 Np 2.09, 1 Ni 2.09
O 0.3265 0.0006 0.1283  1 Mo 2.07, 1 Np 2.09, 1 Ni 2.09
O 0.6735 0.6741 0.6283  1 Mo 2.07, 1 Np 2.09, 1 Ni 2.09
O 0.3259 0.3265 0.8717  1 Mo 2.07, 1 Np 2.09, 1 Ni 2.09

Output
Space group: P-31c, No. 163
Final energy in eV/cell: -140.5